The following is a DFT calculation (PBE-GGA) of a relaxed CoSb crystal.

```
CoSb
1.0
3.209 0.000 0.000
0.000 3.209 0.000
0.000 0.000 3.209
Co Sb
1 1
Direct
0.000 0.000 0.000
0.500 0.500 0.500
```

Results
uncorrected formation energy = 0.30 eV per atom
space-group type = No. 221
total DFT energy (no corrections) = -5.31 eV/atom
Fermi-level density of states = 1.700 states/eV/atom
total moment = 0.758 μB per formula unit